No. 1
HRh2O PBE-GGA relaxed; energy above the lowest structure with this stoichiometry = 0.00 eV per formula unit; total moment = 0.00 μB/atom
1.0
4.512 0.000 0.000
0.000 4.512 0.000
2.256 2.256 4.273
H O Rh
2 2 4
Direct
0.250 0.750 0.500
0.500 0.500 0.000
0.750 0.250 0.500
0.000 0.000 0.000
0.375 0.419 0.750
0.875 0.831 0.750
0.169 0.625 0.250
0.581 0.125 0.250



No. 2
HRh2O PBE-GGA relaxed; energy above the lowest structure with this stoichiometry = 2.33 eV per formula unit; total moment = 0.00 μB/atom
1.0
3.052 -2.128 0.963
1.608 0.404 3.468
-0.352 -2.791 2.619
O H Rh
1 1 2
Direct
0.500 0.500 0.500
0.000 0.000 0.000
0.250 0.250 0.250
0.750 0.750 0.750



No. 3
HRhO3 PBE-GGA relaxed; final energy = -5.28 eV per atom; total moment = 0.00 μB/atom
1.0
-1.851 -1.217 -3.212
3.062 0.319 -2.398
1.124 -3.728 0.252
Rh O H
1 3 1
Direct
0.215 0.215 0.215
0.140 0.702 0.140
0.140 0.140 0.702
0.702 0.140 0.140
0.928 0.928 0.928



Number 1: DOS at the Fermi energy 5.3 states/eV/f.u.. Number 2: DOS at the Fermi energy 4.3 states/eV/f.u.. Number 3: DOS at the Fermi energy 2.5 states/eV/f.u..